No. 1
# Nd2ZrCu3Ni12

An optimized crystal structure of Nd2ZrCu3Ni12 (PBE, Alexandria).

Cell lengths 8.4572, 8.4572, 12.3279 Å; angles 90.00, 90.00, 120.00 degrees
Space group R-3m (No. 166, hexagonal axes)
Symmetry-distinct sites (fractional):
Nd: 0.0000 0.0000 0.2076 (multiplicity 6)
Zr: 0.0000 0.0000 0.5000 (multiplicity 3)
Cu: 0.0000 0.5000 0.0000 (multiplicity 9)
Ni: 0.0075 0.5037 0.2058 (multiplicity 18)
Ni: 0.0325 0.5163 0.6069 (multiplicity 18)

Output
energy	-297.64	eV/cell
formation energy	0.030	eV/atom

No. 2
# Pm3Al4Ir4

An optimized crystal structure of Pm3Al4Ir4 (PBE, Alexandria).

Cell lengths 4.139, 7.267, 14.224 Å; angles 90.00, 90.00, 90.00 degrees
Space group Immm (No. 71)
Symmetry-distinct sites (fractional):
Pm: 0.000 0.000 0.000 (multiplicity 2)
Pm: 0.000 0.500 0.119 (multiplicity 4)
Al: 0.000 0.308 0.325 (multiplicity 8)
Ir: 0.000 0.000 0.220 (multiplicity 4)
Ir: 0.000 0.201 0.500 (multiplicity 4)

Output
excess energy over the best structure of this formula in the dataset	0	meV per atom
energy	-146.86	eV/cell
formation energy	-0.797	eV/atom